Entry from the Alexandria database: a relaxed structure of ZrAl2Pb (PBE).

Properties
**Magnetization**: 0.000 μB/atom
**ΔE_f**: -0.08 eV/atom

Cell: 5.822 5.822 5.257 Å, 64.21 64.21 32.04°
Atoms (fractional coordinates):
Zr (0.739, 0.739, 0.840)
Al (0.264, 0.264, 0.298)
Pb (0.499, 0.499, 0.437)
Al (0.997, 0.997, 0.925)